1.
The following is a PBE calculation of an optimized crystal structure of Pm3SiSb2, from Alexandria via LeMat-Bulk.

Computed properties:
The total energy is -5.574 eV/atom. The value obtained for the energy relative to the elements, uncorrected is -0.9211 eV per atom. The symmetry is No. 15.

CIF file:
```
data_Pm3SiSb2
_chemical_formula_sum 'Pm6 Si2 Sb4'
_cell_length_a 7.6025
_cell_length_b 7.6355
_cell_length_c 7.6355
_cell_angle_alpha 119.88
_cell_angle_beta 99.63
_cell_angle_gamma 99.63
_space_group_name_H-M_alt 'P 1'
_space_group_IT_number 1
loop_
_space_group_symop_operation_xyz
'x,y,z'
loop_
_atom_site_label
_atom_site_type_symbol
_atom_site_fract_x
_atom_site_fract_y
_atom_site_fract_z
Pm1 Pm 0.0042 0.1862 0.3445
Pm2 Pm 0.5042 0.3445 0.1862
Pm3 Pm 0.0000 0.5000 0.0000
Pm4 Pm 0.9958 0.8138 0.6555
Pm5 Pm 0.5000 0.0000 0.5000
Pm6 Pm 0.4958 0.6555 0.8138
Si1 Si 0.2500 0.5877 0.4123
Si2 Si 0.7500 0.4123 0.5877
Sb1 Sb 0.2500 0.9175 0.0825
Sb2 Sb 0.2500 0.2442 0.7558
Sb3 Sb 0.7500 0.0825 0.9175
Sb4 Sb 0.7500 0.7558 0.2442
```


2.
The following is a PBE calculation of an optimized crystal structure of Pu2NpS6, from Alexandria via LeMat-Bulk.

Computed properties:
The total energy is -8.665 eV/atom. Its energy above the most stable polymorph in this dataset is 0 meV per atom. The value obtained for the energy relative to the elements, uncorrected is -1.2905 eV per atom. The symmetry is No. 147.

CIF file:
```
data_Pu2NpS6
_chemical_formula_sum 'Pu2 Np1 S6'
_cell_length_a 4.2949
_cell_length_b 7.0893
_cell_length_c 7.0893
_cell_angle_alpha 120.00
_cell_angle_beta 90.00
_cell_angle_gamma 90.00
_space_group_name_H-M_alt 'P 1'
_space_group_IT_number 1
loop_
_space_group_symop_operation_xyz
'x,y,z'
loop_
_atom_site_label
_atom_site_type_symbol
_atom_site_fract_x
_atom_site_fract_y
_atom_site_fract_z
Pu1 Pu 0.2642 0.6667 0.3333
Pu2 Pu 0.7358 0.3333 0.6667
Np1 Np 0.5000 0.0000 0.0000
S1 S 0.2470 0.6245 0.7060
S2 S 0.2470 0.0815 0.3755
S3 S 0.2470 0.2940 0.9185
S4 S 0.7530 0.3755 0.2940
S5 S 0.7530 0.9185 0.6245
S6 S 0.7530 0.7060 0.0815
```


3.
The following is a PBE calculation of an optimized crystal structure of Nd2PdPt, from Alexandria via LeMat-Bulk.

Computed properties:
The calculation puts the energy of formation from the pure elements at -0.990 eV per atom. The total energy is -6.182 eV/atom. The symmetry is No. 11.

CIF file:
```
data_Nd2PdPt
_chemical_formula_sum 'Nd4 Pd2 Pt2'
_cell_length_a 4.6012
_cell_length_b 5.7811
_cell_length_c 7.8351
_cell_angle_alpha 109.82
_cell_angle_beta 90.00
_cell_angle_gamma 90.00
_space_group_name_H-M_alt 'P 1'
_space_group_IT_number 1
loop_
_space_group_symop_operation_xyz
'x,y,z'
loop_
_atom_site_label
_atom_site_type_symbol
_atom_site_fract_x
_atom_site_fract_y
_atom_site_fract_z
Nd1 Nd 0.7500 0.2293 0.4291
Nd2 Nd 0.2500 0.7707 0.5709
Nd3 Nd 0.2500 0.7757 0.0658
Nd4 Nd 0.7500 0.2243 0.9342
Pd1 Pd 0.7500 0.6753 0.2936
Pd2 Pd 0.2500 0.3247 0.7064
Pt1 Pt 0.2500 0.3296 0.2073
Pt2 Pt 0.7500 0.6704 0.7927
```


4.
The following is a PBE calculation of an optimized crystal structure of YInOsN2, from Alexandria via LeMat-Bulk.

Computed properties:
The total energy is -5.385 eV/atom. The value obtained for the energy relative to the elements, uncorrected is 2.0317 eV per atom. The symmetry is No. 123.

CIF file:
```
data_YInOsN2
_chemical_formula_sum 'Y1 In1 Os1 N2'
_cell_length_a 4.1305
_cell_length_b 6.4208
_cell_length_c 4.1305
_cell_angle_alpha 90.00
_cell_angle_beta 90.00
_cell_angle_gamma 90.00
_space_group_name_H-M_alt 'P 1'
_space_group_IT_number 1
loop_
_space_group_symop_operation_xyz
'x,y,z'
loop_
_atom_site_label
_atom_site_type_symbol
_atom_site_fract_x
_atom_site_fract_y
_atom_site_fract_z
Y1 Y 0.0000 0.5000 0.0000
N1 N 0.0000 0.0000 0.5000
N2 N 0.5000 0.0000 0.0000
Os1 Os 0.5000 0.5000 0.5000
In1 In 0.0000 0.0000 0.0000
```


5.
The following is a PBE calculation of an optimized crystal structure of K2MgNi, from Alexandria via LeMat-Bulk.

Computed properties:
The calculation puts the energy of formation from the pure elements at 0.407 eV per atom. The total energy is -1.986 eV/atom. The symmetry is No. 44.

CIF file:
```
data_K2MgNi
_chemical_formula_sum 'K2 Mg1 Ni1'
_cell_length_a 6.5773
_cell_length_b 6.5773
_cell_length_c 6.5773
_cell_angle_alpha 142.71
_cell_angle_beta 126.42
_cell_angle_gamma 67.10
_space_group_name_H-M_alt 'P 1'
_space_group_IT_number 1
loop_
_space_group_symop_operation_xyz
'x,y,z'
loop_
_atom_site_label
_atom_site_type_symbol
_atom_site_fract_x
_atom_site_fract_y
_atom_site_fract_z
K1 K 0.0374 0.0374 0.0000
K2 K 0.7309 0.2309 0.5000
Mg1 Mg 0.4270 0.4270 0.0000
Ni1 Ni 0.3047 0.8047 0.5000
```


6.
The following is a PBE calculation of an optimized crystal structure of RbBe2Co2, from Alexandria via LeMat-Bulk.

Computed properties:
The calculation puts the energy of formation from the pure elements at 0.567 eV per atom. The total energy is -3.959 eV/atom. Its energy above the most stable polymorph in this dataset is 0 meV per atom. The symmetry is No. 139.

CIF file:
```
data_RbBe2Co2
_chemical_formula_sum 'Rb1 Be2 Co2'
_cell_length_a 4.1114
_cell_length_b 4.1114
_cell_length_c 6.8035
_cell_angle_alpha 72.41
_cell_angle_beta 72.41
_cell_angle_gamma 90.00
_space_group_name_H-M_alt 'P 1'
_space_group_IT_number 1
loop_
_space_group_symop_operation_xyz
'x,y,z'
loop_
_atom_site_label
_atom_site_type_symbol
_atom_site_fract_x
_atom_site_fract_y
_atom_site_fract_z
Be1 Be 0.7500 0.2500 0.5000
Be2 Be 0.2500 0.7500 0.5000
Co1 Co 0.2616 0.2616 0.4768
Co2 Co 0.7384 0.7384 0.5232
Rb1 Rb 0.0000 0.0000 0.0000
```


7.
The following is a PBE calculation of an optimized crystal structure of Ta5Nb2Tc, from Alexandria via LeMat-Bulk.

Computed properties:
The calculation puts the energy of formation from the pure elements at -0.073 eV per atom. The total energy is -11.294 eV/atom. The symmetry is No. 55.

CIF file:
```
data_Ta5Nb2Tc
_chemical_formula_sum 'Ta10 Nb4 Tc2'
_cell_length_a 4.6671
_cell_length_b 5.5686
_cell_length_c 10.9723
_cell_angle_alpha 90.00
_cell_angle_beta 90.00
_cell_angle_gamma 90.00
_space_group_name_H-M_alt 'P 1'
_space_group_IT_number 1
loop_
_space_group_symop_operation_xyz
'x,y,z'
loop_
_atom_site_label
_atom_site_type_symbol
_atom_site_fract_x
_atom_site_fract_y
_atom_site_fract_z
Ta1 Ta 0.5000 0.3409 0.1116
Ta2 Ta 0.5000 0.6591 0.8884
Ta3 Ta 0.5000 0.8409 0.3884
Ta4 Ta 0.5000 0.1591 0.6116
Ta5 Ta 0.0000 0.8616 0.7446
Ta6 Ta 0.0000 0.1384 0.2554
Ta7 Ta 0.0000 0.3616 0.7554
Ta8 Ta 0.0000 0.6384 0.2446
Ta9 Ta 0.0000 0.5000 0.5000
Ta10 Ta 0.0000 0.0000 0.0000
Nb1 Nb 0.5000 0.3417 0.3705
Nb2 Nb 0.5000 0.6583 0.6295
Nb3 Nb 0.5000 0.1583 0.8705
Nb4 Nb 0.5000 0.8417 0.1295
Tc1 Tc 0.0000 0.0000 0.5000
Tc2 Tc 0.0000 0.5000 0.0000
```


8.
The following is a PBE calculation of an optimized crystal structure of Rb2BiBrCl6, from Alexandria via LeMat-Bulk.

Computed properties:
The total energy is -2.941 eV/atom. The value obtained for the energy relative to the elements, uncorrected is -1.0844 eV per atom. The symmetry is No. 139.

CIF file:
```
data_Rb2BiBrCl6
_chemical_formula_sum 'Rb2 Bi1 Br1 Cl6'
_cell_length_a 7.7419
_cell_length_b 7.7419
_cell_length_c 8.1990
_cell_angle_alpha 61.83
_cell_angle_beta 61.83
_cell_angle_gamma 90.00
_space_group_name_H-M_alt 'P 1'
_space_group_IT_number 1
loop_
_space_group_symop_operation_xyz
'x,y,z'
loop_
_atom_site_label
_atom_site_type_symbol
_atom_site_fract_x
_atom_site_fract_y
_atom_site_fract_z
Br1 Br 0.5000 0.5000 0.0000
Bi1 Bi 0.0000 0.0000 0.0000
Rb1 Rb 0.7500 0.2500 0.5000
Rb2 Rb 0.2500 0.7500 0.5000
Cl1 Cl 0.2186 0.2186 0.5627
Cl2 Cl 0.7814 0.7814 0.4373
Cl3 Cl 0.2409 0.2409 0.0000
Cl4 Cl 0.7591 0.7591 0.0000
Cl5 Cl 0.7591 0.2409 0.0000
Cl6 Cl 0.2409 0.7591 0.0000
```


9.
The following is a PBE calculation of an optimized crystal structure of KZn2HgCl8, from Alexandria via LeMat-Bulk.

Computed properties:
The total energy is -2.510 eV/atom. The value obtained for the energy relative to the elements, uncorrected is -0.9501 eV per atom. The symmetry is No. 148.

CIF file:
```
data_KZn2HgCl8
_chemical_formula_sum 'K1 Zn2 Hg1 Cl8'
_cell_length_a 6.3839
_cell_length_b 6.3839
_cell_length_c 10.1259
_cell_angle_alpha 71.63
_cell_angle_beta 71.63
_cell_angle_gamma 60.00
_space_group_name_H-M_alt 'P 1'
_space_group_IT_number 1
loop_
_space_group_symop_operation_xyz
'x,y,z'
loop_
_atom_site_label
_atom_site_type_symbol
_atom_site_fract_x
_atom_site_fract_y
_atom_site_fract_z
K1 K 0.5000 0.5000 0.5000
Zn1 Zn 0.2540 0.2540 0.2379
Zn2 Zn 0.7460 0.7460 0.7621
Hg1 Hg 0.0000 0.0000 0.0000
Cl1 Cl 0.1738 0.1738 0.4785
Cl2 Cl 0.6147 0.2885 0.1696
Cl3 Cl 0.8262 0.8262 0.5215
Cl4 Cl 0.9272 0.6147 0.1696
Cl5 Cl 0.0728 0.3853 0.8304
Cl6 Cl 0.2885 0.9272 0.1696
Cl7 Cl 0.7115 0.0728 0.8304
Cl8 Cl 0.3853 0.7115 0.8304
```


10.
The following is a PBE calculation of an optimized crystal structure of SiPF, from Alexandria via LeMat-Bulk.

Computed properties:
The total energy is -5.317 eV/atom. Its energy above the most stable polymorph in this dataset is 254 meV per atom. The value obtained for the energy relative to the elements, uncorrected is -1.0825 eV per atom. The symmetry is No. 1.

CIF file:
```
data_SiPF
_chemical_formula_sum 'Si2 P2 F2'
_cell_length_a 3.8033
_cell_length_b 5.1067
_cell_length_c 5.8089
_cell_angle_alpha 100.20
_cell_angle_beta 98.59
_cell_angle_gamma 108.18
_space_group_name_H-M_alt 'P 1'
_space_group_IT_number 1
loop_
_space_group_symop_operation_xyz
'x,y,z'
loop_
_atom_site_label
_atom_site_type_symbol
_atom_site_fract_x
_atom_site_fract_y
_atom_site_fract_z
P1 P 0.4546 0.6091 0.7342
P2 P 0.4179 0.1601 0.6965
Si1 Si 0.0955 0.8447 0.8975
Si2 Si 0.0611 0.0039 0.3086
F1 F 0.8792 0.2466 0.2631
F2 F 0.6996 0.7286 0.3057
```


11.
The following is a PBE calculation of an optimized crystal structure of Ac2ZnSi4Pt3, from Alexandria via LeMat-Bulk.

Computed properties:
The total energy is -5.869 eV/atom. The value obtained for the energy relative to the elements, uncorrected is -0.9386 eV per atom. The symmetry is No. 115.

CIF file:
```
data_Ac2ZnSi4Pt3
_chemical_formula_sum 'Ac2 Zn1 Si4 Pt3'
_cell_length_a 4.3828
_cell_length_b 4.3828
_cell_length_c 10.1056
_cell_angle_alpha 90.00
_cell_angle_beta 90.00
_cell_angle_gamma 90.00
_space_group_name_H-M_alt 'P 1'
_space_group_IT_number 1
loop_
_space_group_symop_operation_xyz
'x,y,z'
loop_
_atom_site_label
_atom_site_type_symbol
_atom_site_fract_x
_atom_site_fract_y
_atom_site_fract_z
Ac1 Ac 0.5000 0.0000 0.2488
Ac2 Ac 0.0000 0.5000 0.7512
Zn1 Zn 0.5000 0.5000 0.5000
Si1 Si 0.5000 0.5000 0.0000
Si2 Si 0.0000 0.0000 0.0000
Si3 Si 0.5000 0.0000 0.6329
Si4 Si 0.0000 0.5000 0.3671
Pt1 Pt 0.0000 0.0000 0.5000
Pt2 Pt 0.5000 0.0000 0.8840
Pt3 Pt 0.0000 0.5000 0.1160
```


12.
The following is a PBE calculation of an optimized crystal structure of Sc2VGaB, from Alexandria via LeMat-Bulk.

Computed properties:
The calculation puts the energy of formation from the pure elements at 1.175 eV per atom. The total energy is -5.122 eV/atom. The symmetry is No. 123.

CIF file:
```
data_Sc2VGaB
_chemical_formula_sum 'Sc2 V1 Ga1 B1'
_cell_length_a 4.8735
_cell_length_b 4.5387
_cell_length_c 4.8735
_cell_angle_alpha 90.00
_cell_angle_beta 90.00
_cell_angle_gamma 90.00
_space_group_name_H-M_alt 'P 1'
_space_group_IT_number 1
loop_
_space_group_symop_operation_xyz
'x,y,z'
loop_
_atom_site_label
_atom_site_type_symbol
_atom_site_fract_x
_atom_site_fract_y
_atom_site_fract_z
Sc1 Sc 0.0000 0.0000 0.5000
Sc2 Sc 0.5000 0.0000 0.0000
B1 B 0.5000 0.5000 0.5000
Ga1 Ga 0.0000 0.0000 0.0000
V1 V 0.0000 0.5000 0.0000
```